No. 1
Material: Rb2ZrNbPd
Method: DFT, SCAN
State: single point on PBEsol structure

Output
Density of states at the Fermi level = 0.650 states/eV/atom
Theoretical density = 3.942 g/cm³
Formation energy from the elements = 8.3 eV/f.u.

Cell: 6.4063 6.4063 4.7366 Å, 90.00 90.00 90.00°
With the nearest neighbours (Å) after each atom.
Sites, in units of the cell vectors:
Rb 0.0000 0.5000 0.0000  2 Zr 3.20
Rb 0.5000 0.0000 0.0000  2 Zr 3.20
Zr 0.0000 0.0000 0.0000  2 Pd 2.37
Nb 0.5000 0.5000 0.5000  8 Rb 3.98
Pd 0.0000 0.0000 0.5000  2 Zr 2.37

No. 2
Material: LaCoPt2
Method: DFT, SCAN
State: single point on PBEsol structure

Output
Density of states at the Fermi level = 0.685 states/eV/atom
Theoretical density = 14.286 g/cm³
Formation energy from the elements = -2.0 eV/f.u.

Cell: 4.0439 4.0439 4.1796 Å, 90.00 90.00 90.00°
With the nearest neighbours (Å) after each atom.
Sites, in units of the cell vectors:
La 0.0000 0.0000 0.0000  4 Co 2.86, 8 Pt 2.91
Co 0.5000 0.5000 0.0000  4 La 2.86, 8 Pt 2.91
Pt 0.0000 0.5000 0.5000  4 Pt 2.86, 4 La 2.91, 4 Co 2.91
Pt 0.5000 0.0000 0.5000  4 Pt 2.86, 4 La 2.91, 4 Co 2.91

No. 3
Material: MnBeIrBr2
Method: DFT, SCAN
State: single point on PBEsol structure

Output
Density of states at the Fermi level = 0.261 states/eV/atom
Theoretical density = 5.664 g/cm³
Uncorrected formation energy = 0.884 eV/atom

Cell: 4.9938 4.9938 4.8902 Å, 90.00 90.00 90.00°
With the nearest neighbours (Å) after each atom.
Sites, in units of the cell vectors:
Mn 0.0000 0.0000 0.0000  2 Ir 2.45
Be 0.5000 0.5000 0.0000  8 Br 3.49, 4 Mn 3.53
Ir 0.0000 0.0000 0.5000  2 Mn 2.45, 4 Br 2.50
Br 0.0000 0.5000 0.5000  2 Ir 2.50
Br 0.5000 0.0000 0.5000  2 Ir 2.50

No. 4
Material: MnAsSe2N
Method: DFT, SCAN
State: single point on PBEsol structure

Output
Density of states at the Fermi level = 0.376 states/eV/atom
Theoretical density = 5.452 g/cm³
Uncorrected formation energy = 0.567 eV/atom

Cell: 5.0709 5.0709 3.5748 Å, 90.00 90.00 90.00°
With the nearest neighbours (Å) after each atom.
Sites, in units of the cell vectors:
Mn 0.0000 0.0000 0.0000  8 Se 3.10
As 0.5000 0.5000 0.5000  2 N 1.79
Se 0.0000 0.5000 0.5000  2 As 2.54
Se 0.5000 0.0000 0.5000  2 As 2.54
N 0.5000 0.5000 0.0000  2 As 1.79

Question: The highest theoretical density belongs to which entry?
Answer: LaCoPt2

Question: Look up the density of states at the Fermi level of the third one.
Answer: 0.261 states/eV/atom

Copy entry 2 word for word.
Material: LaCoPt2
Method: DFT, SCAN
State: single point on PBEsol structure

Output
Density of states at the Fermi level = 0.685 states/eV/atom
Theoretical density = 14.286 g/cm³
Formation energy from the elements = -2.0 eV/f.u.

Cell: 4.0439 4.0439 4.1796 Å, 90.00 90.00 90.00°
With the nearest neighbours (Å) after each atom.
Sites, in units of the cell vectors:
La 0.0000 0.0000 0.0000  4 Co 2.86, 8 Pt 2.91
Co 0.5000 0.5000 0.0000  4 La 2.86, 8 Pt 2.91
Pt 0.0000 0.5000 0.5000  4 Pt 2.86, 4 La 2.91, 4 Co 2.91
Pt 0.5000 0.0000 0.5000  4 Pt 2.86, 4 La 2.91, 4 Co 2.91